1.
# Ac4CdIn2 (PBE-GGA, optimized geometry)
data_Ac4CdIn2
_symmetry_space_group_name_H-M 'P 1'
_symmetry_Int_Tables_number 1
_symmetry_space_group_name_Hall 'P 1'
_cell_length_a 5.744
_cell_length_b 5.744
_cell_length_c 9.808
_cell_angle_alpha 72.97
_cell_angle_beta 72.97
_cell_angle_gamma 60.00
loop_
_atom_site_label
_atom_site_fract_x
_atom_site_fract_y
_atom_site_fract_z
In1 0.748 0.748 0.756
Ac1 0.621 0.621 0.137
In2 0.252 0.252 0.244
Ac2 0.127 0.127 0.618
Cd1 0.000 0.000 0.000
Ac3 0.379 0.379 0.863
Ac4 0.873 0.873 0.382
# ΔH_f (0 K) = -187 kJ/mol of formula units
# Fermi-level density of states = 7.77 states/eV/cell


2.
# AcCd4In2 (PBE-GGA, optimized geometry)
data_AcCd4In2
_symmetry_space_group_name_H-M 'P 1'
_symmetry_Int_Tables_number 1
_symmetry_space_group_name_Hall 'P 1'
_cell_length_a 4.738
_cell_length_b 8.858
_cell_length_c 8.858
_cell_angle_alpha 90.00
_cell_angle_beta 90.00
_cell_angle_gamma 90.00
loop_
_atom_site_label
_atom_site_fract_x
_atom_site_fract_y
_atom_site_fract_z
In1 0.500 0.290 0.290
Cd1 0.500 0.839 0.410
Cd2 0.000 0.339 0.090
Cd3 0.500 0.590 0.161
Cd4 0.000 0.090 0.339
Ac1 0.500 0.000 0.000
In2 0.500 0.710 0.710
Cd5 0.500 0.161 0.590
In3 0.000 0.790 0.210
Cd6 0.000 0.661 0.910
Cd7 0.000 0.910 0.661
Cd8 0.500 0.410 0.839
In4 0.000 0.210 0.790
Ac2 0.000 0.500 0.500
# ΔH_f (0 K) = -121 kJ/mol of formula units
# Distance to the lowest polymorph of the same formula = 33 meV per atom
# Fermi-level density of states = 6.42 states/eV/cell


3.
# Ac2Cd6In3 (PBE-GGA, optimized geometry)
data_Ac2Cd6In3
_symmetry_space_group_name_H-M 'P 1'
_symmetry_Int_Tables_number 1
_symmetry_space_group_name_Hall 'P 1'
_cell_length_a 4.610
_cell_length_b 8.742
_cell_length_c 8.742
_cell_angle_alpha 120.00
_cell_angle_beta 90.00
_cell_angle_gamma 90.00
loop_
_atom_site_label
_atom_site_fract_x
_atom_site_fract_y
_atom_site_fract_z
In1 0.500 0.000 0.614
Cd1 0.500 0.284 0.000
Cd2 0.000 0.191 0.191
Cd3 0.000 0.000 0.809
Ac1 0.000 0.667 0.333
Cd4 0.500 0.000 0.284
In2 0.500 0.614 0.000
Cd5 0.000 0.809 0.000
Ac2 0.000 0.333 0.667
In3 0.500 0.386 0.386
Cd6 0.500 0.716 0.716
# ΔH_f (0 K) = -273 kJ/mol of formula units
# Fermi-level density of states = 5.68 states/eV/cell


4.
# Ac2Cd8In (PBE-GGA, optimized geometry)
data_Ac2Cd8In
_symmetry_space_group_name_H-M 'P 1'
_symmetry_Int_Tables_number 1
_symmetry_space_group_name_Hall 'P 1'
_cell_length_a 6.124
_cell_length_b 5.936
_cell_length_c 11.324
_cell_angle_alpha 122.58
_cell_angle_beta 116.94
_cell_angle_gamma 65.31
loop_
_atom_site_label
_atom_site_fract_x
_atom_site_fract_y
_atom_site_fract_z
Cd1 0.012 0.087 0.742
Cd2 0.182 0.626 0.993
Cd3 0.988 0.913 0.258
Ac1 0.653 0.613 0.319
Cd4 0.741 0.257 0.497
Cd5 0.818 0.374 0.007
Cd6 0.253 0.203 0.238
Cd7 0.747 0.797 0.762
Cd8 0.259 0.743 0.503
In1 0.500 0.000 0.000
Ac2 0.347 0.387 0.681
# ΔH_f (0 K) = -191 kJ/mol of formula units
# Fermi-level density of states = 5.90 states/eV/cell


5.
# Ac2CdIn (PBE-GGA, optimized geometry)
data_Ac2CdIn
_symmetry_space_group_name_H-M 'P 1'
_symmetry_Int_Tables_number 1
_symmetry_space_group_name_Hall 'P 1'
_cell_length_a 4.076
_cell_length_b 5.801
_cell_length_c 5.801
_cell_angle_alpha 90.00
_cell_angle_beta 90.00
_cell_angle_gamma 90.00
loop_
_atom_site_label
_atom_site_fract_x
_atom_site_fract_y
_atom_site_fract_z
In1 0.500 0.500 0.500
Ac1 0.000 0.000 0.500
Ac2 0.000 0.500 0.000
Cd1 0.500 0.000 0.000
# ΔH_f (0 K) = -137 kJ/mol of formula units
# Fermi-level density of states = 5.64 states/eV/cell


6.
# AcCdIn4 (PBE-GGA, optimized geometry)
data_AcCdIn4
_symmetry_space_group_name_H-M 'P 1'
_symmetry_Int_Tables_number 1
_symmetry_space_group_name_Hall 'P 1'
_cell_length_a 6.263
_cell_length_b 6.263
_cell_length_c 6.263
_cell_angle_alpha 60.00
_cell_angle_beta 60.00
_cell_angle_gamma 60.00
loop_
_atom_site_label
_atom_site_fract_x
_atom_site_fract_y
_atom_site_fract_z
Ac1 0.250 0.250 0.250
In1 0.125 0.625 0.625
In2 0.625 0.125 0.625
Cd1 0.000 0.000 0.000
In3 0.625 0.625 0.125
In4 0.625 0.625 0.625
# ΔH_f (0 K) = -84 kJ/mol of formula units
# Distance to the lowest polymorph of the same formula = 75 meV per atom
# Fermi-level density of states = 4.62 states/eV/cell


7.
# Ac3Cd2In2 (PBE-GGA, optimized geometry)
data_Ac3Cd2In2
_symmetry_space_group_name_H-M 'P 1'
_symmetry_Int_Tables_number 1
_symmetry_space_group_name_Hall 'P 1'
_cell_length_a 5.148
_cell_length_b 6.581
_cell_length_c 7.691
_cell_angle_alpha 102.95
_cell_angle_beta 90.00
_cell_angle_gamma 113.02
loop_
_atom_site_label
_atom_site_fract_x
_atom_site_fract_y
_atom_site_fract_z
Ac1 0.336 0.672 0.394
Cd1 0.194 0.388 0.936
In1 0.034 0.068 0.319
Ac2 0.664 0.328 0.606
In2 0.966 0.932 0.681
Ac3 0.500 0.000 0.000
Cd2 0.806 0.612 0.064
# ΔH_f (0 K) = -252 kJ/mol of formula units
# Fermi-level density of states = 6.01 states/eV/cell


8.
# AcCd3In3 (PBE-GGA, optimized geometry)
data_AcCd3In3
_symmetry_space_group_name_H-M 'P 1'
_symmetry_Int_Tables_number 1
_symmetry_space_group_name_Hall 'P 1'
_cell_length_a 9.582
_cell_length_b 9.582
_cell_length_c 9.582
_cell_angle_alpha 60.00
_cell_angle_beta 60.00
_cell_angle_gamma 60.00
loop_
_atom_site_label
_atom_site_fract_x
_atom_site_fract_y
_atom_site_fract_z
Cd1 0.151 0.849 0.151
Cd2 0.849 0.151 0.849
Cd3 0.151 0.151 0.849
Cd4 0.849 0.849 0.151
In1 0.655 0.655 0.345
In2 0.345 0.655 0.655
In3 0.345 0.655 0.345
Ac1 0.250 0.250 0.250
In4 0.655 0.345 0.655
Cd5 0.151 0.849 0.849
In5 0.655 0.345 0.345
In6 0.345 0.345 0.655
Ac2 0.750 0.750 0.750
Cd6 0.849 0.151 0.151
# ΔH_f (0 K) = 368 kJ/mol of formula units
# Distance to the lowest polymorph of the same formula = 329 meV per atom
# Fermi-level density of states = 15.83 states/eV/cell